(1)
Density functional theory data (PBE) for crystalline PrTm2Si2 at its relaxed geometry.

Summary:
Size of the total moment: 0.00 μB/f.u.
Raw formation energy: -0.453 eV/atom
Crystal system: monoclinic

Cell: 5.2173 4.0230 12.0356 Å, 90.00 98.23 90.00°
Space group P2_1/m (No. 11)
Asymmetric unit:
Pr 0.1981 0.2500 0.2348 (multiplicity 2)
Tm 0.2429 0.7500 0.4755 (multiplicity 2)
Tm 0.3435 0.2500 0.8921 (multiplicity 2)
Si 0.1359 0.7500 0.0275 (multiplicity 2)
Si 0.2983 0.2500 0.6555 (multiplicity 2)



(2)
Density functional theory data (PBE) for crystalline LiZn2Cl at its relaxed geometry.

Summary:
Size of the total moment: 0.00 μB/f.u.
Raw formation energy: -0.411 eV/atom
Energy above the lowest structure with this stoichiometry: 15.6 kJ/mol of atoms
Crystal system: orthorhombic

Cell: 4.8658 9.4105 3.5315 Å, 90.00 90.00 90.00°
Space group Cmmm (No. 65)
Asymmetric unit:
Li 0.0000 0.0000 0.0000 (multiplicity 2)
Zn 0.2500 0.2500 0.5000 (multiplicity 4)
Cl 0.0000 0.5000 0.0000 (multiplicity 2)



(3)
Density functional theory data (PBE) for crystalline Ce2SmDy3P6 at its relaxed geometry.

Summary:
Size of the total moment: 0.83 μB/f.u.
Crystal system: monoclinic
ΔH_f (0 K): -1.5751 eV/atom

Cell: 7.0145 12.1490 7.0014 Å, 90.00 109.50 90.00°
Space group C2/m (No. 12)
Asymmetric unit:
Ce 0.0000 0.1668 0.0000 (multiplicity 4)
Sm 0.0000 0.5000 0.0000 (multiplicity 2)
Dy 0.0000 0.0000 0.5000 (multiplicity 2)
Dy 0.0000 0.3339 0.5000 (multiplicity 4)
P 0.2475 0.1681 0.7469 (multiplicity 8)
P 0.2484 0.0000 0.2540 (multiplicity 4)



(4)
Density functional theory data (PBE) for crystalline GaAg4Te5 at its relaxed geometry.

Summary:
Size of the total moment: 0.00 μB/f.u.
Raw formation energy: -0.048 eV/atom
Crystal system: tetragonal

Cell: 9.2751 9.2751 5.8457 Å, 90.00 90.00 90.00°
Space group I4 (No. 79)
Asymmetric unit:
Ga 0.0000 0.0000 0.0000 (multiplicity 2)
Ag 0.1032 0.2953 0.5072 (multiplicity 8)
Te 0.0000 0.0000 0.5059 (multiplicity 2)
Te 0.0890 0.2964 0.0073 (multiplicity 8)



(5)
Density functional theory data (PBE) for crystalline CsSb4S8 at its relaxed geometry.

Summary:
Size of the total moment: 0.00 μB/f.u.
Raw formation energy: -0.104 eV/atom
Crystal system: cubic

Cell: 11.6679 11.6679 11.6679 Å, 90.00 90.00 90.00°
Space group F-43m (No. 216)
Asymmetric unit:
Cs 0.0000 0.0000 0.0000 (multiplicity 4)
Sb 0.1207 0.1207 0.6207 (multiplicity 16)
S 0.1140 0.1140 0.3860 (multiplicity 16)
S 0.1502 0.1502 0.8498 (multiplicity 16)



(6)
Density functional theory data (PBE) for crystalline RbAl6Au12 at its relaxed geometry.

Summary:
Size of the total moment: 0.00 μB/f.u.
Crystal system: trigonal
ΔH_f (0 K): -0.2174 eV/atom

Cell: 13.4473 13.4473 7.0806 Å, 90.00 90.00 120.00°
Space group R-3 (No. 148, hexagonal axes)
Asymmetric unit:
Rb 0.0000 0.0000 0.0000 (multiplicity 3)
Al 0.0102 0.2634 0.2895 (multiplicity 18)
Au 0.0405 0.8552 0.3793 (multiplicity 18)
Au 0.0443 0.5539 0.6820 (multiplicity 18)



Asked for D(E_F) across the records above, the calculation gives 11.05 1.07 19.19 11.96 47.78 18.15 states/eV per cell in order.